(1)
An optimized crystal structure of Y3ScSn2C. Source: Alexandria, functional PBE.

Calculated values
* energy of formation from the pure elements: -17.35 kcal/mol of atoms
* density of states at the Fermi level: 0.5 states/eV/f.u.

abc: 4.5678 4.7695 15.9211
angles: 90.00 90.00 90.00
Space group Immm (No. 71)
Asymmetric unit:
1 Y 0.0000 0.0000 0.0000 [2 per cell]
2 Y 0.0000 0.5000 0.1589 [4 per cell]
3 Sc 0.0000 0.0000 0.5000 [2 per cell]
4 Sn 0.0000 0.5000 0.3606 [4 per cell]
5 C 0.0000 0.5000 0.0000 [2 per cell]

=====

(2)
An optimized crystal structure of Sc2ZnSnC. Source: Alexandria, functional PBE.

Calculated values
* energy of formation from the pure elements: -10.16 kcal/mol of atoms
* density of states at the Fermi level: 0.8 states/eV/f.u.

abc: 4.6021 4.6021 4.1135
angles: 90.00 90.00 90.00
Space group P4/mmm (No. 123)
Asymmetric unit:
1 Sc 0.0000 0.5000 0.0000 [2 per cell]
2 Zn 0.0000 0.0000 0.5000 [1 per cell]
3 Sn 0.5000 0.5000 0.5000 [1 per cell]
4 C 0.0000 0.0000 0.0000 [1 per cell]

=====

(3)
An optimized crystal structure of Sr3ScC. Source: Alexandria, functional PBE.

Calculated values
* polymorph energy (0 for the lowest one): 1312.9 meV per atom
* energy of formation from the pure elements: 44.13 kcal/mol of atoms
* density of states at the Fermi level: 5.0 states/eV/f.u.

abc: 6.4494 6.4494 6.4494
angles: 90.00 90.00 90.00
Space group Pm-3m (No. 221)
Asymmetric unit:
1 Sr 0.0000 0.0000 0.5000 [3 per cell]
2 Sc 0.0000 0.0000 0.0000 [1 per cell]
3 C 0.5000 0.5000 0.5000 [1 per cell]

=====

(4)
An optimized crystal structure of SrScC3. Source: Alexandria, functional PBE.

Calculated values
* polymorph energy (0 for the lowest one): 0.0 meV per atom
* energy of formation from the pure elements: 32.68 kcal/mol of atoms
* density of states at the Fermi level: 3.8 states/eV/f.u.

abc: 4.3255 4.3255 4.3255
angles: 90.00 90.00 90.00
Space group Pm-3m (No. 221)
Asymmetric unit:
1 Sr 0.0000 0.0000 0.0000 [1 per cell]
2 Sc 0.5000 0.5000 0.5000 [1 per cell]
3 C 0.0000 0.5000 0.5000 [3 per cell]

=====

Please write out number 4 again, unchanged.
An optimized crystal structure of SrScC3. Source: Alexandria, functional PBE.

Calculated values
* polymorph energy (0 for the lowest one): 0.0 meV per atom
* energy of formation from the pure elements: 32.68 kcal/mol of atoms
* density of states at the Fermi level: 3.8 states/eV/f.u.

abc: 4.3255 4.3255 4.3255
angles: 90.00 90.00 90.00
Space group Pm-3m (No. 221)
Asymmetric unit:
1 Sr 0.0000 0.0000 0.0000 [1 per cell]
2 Sc 0.5000 0.5000 0.5000 [1 per cell]
3 C 0.0000 0.5000 0.5000 [3 per cell]